Cs2SrOsF6: optimized geometry, PBE-GGA.

Cell: 6.453 6.453 6.453 Å, 60.00 60.00 90.00°
Atoms (fractional coordinates):
Cs  0.750  0.250  0.500
Cs  0.250  0.750  0.500
F  0.237  0.237  0.527
F  0.763  0.763  0.000
F  0.763  0.763  0.473
F  0.237  0.763  0.000
F  0.237  0.237  0.000
F  0.763  0.237  0.000
Os  0.000  0.000  0.000
Sr  0.500  0.500  0.000

Values from the calculation:
**Symmetry**: No. 225
**ΔE_f (raw)**: -23.81 eV per formula unit

---

NdZr2TiN4: optimized geometry, PBE-GGA.

Cell: 6.617 6.617 6.565 Å, 119.74 119.74 89.98°
Atoms (fractional coordinates):
Zr  0.500  0.000  0.500
Zr  0.000  0.000  0.500
Zr  0.500  0.000  0.000
Zr  0.500  0.500  0.000
Nd  0.000  0.500  0.500
Nd  0.000  0.500  0.000
Ti  0.500  0.500  0.500
Ti  0.000  0.000  0.000
N  0.731  0.226  0.978
N  0.269  0.774  0.022
N  0.260  0.240  0.006
N  0.740  0.760  0.506
N  0.260  0.240  0.494
N  0.726  0.231  0.478
N  0.274  0.769  0.522
N  0.740  0.760  0.994

Values from the calculation:
**Symmetry**: No. 74
**ΔE_f (raw)**: -11.71 eV per formula unit

---

YBe2Hg2: optimized geometry, PBE-GGA.

Cell: 4.243 4.243 5.934 Å, 69.05 69.05 90.00°
Atoms (fractional coordinates):
Y  0.000  0.000  0.000
Hg  0.363  0.363  0.275
Hg  0.637  0.637  0.725
Be  0.750  0.250  0.500
Be  0.250  0.750  0.500

Values from the calculation:
**Symmetry**: No. 139
**ΔE_f**: -0.05 eV/atom